1.
# Pr8HgSb5 PBE relaxed
data_Pr8HgSb5
_cell_length_a 8.3007
_cell_length_b 8.3007
_cell_length_c 8.3007
_cell_angle_alpha 109.77
_cell_angle_beta 108.87
_cell_angle_gamma 109.77
_symmetry_space_group_name_H-M 'P 1'
_symmetry_Int_Tables_number 1
loop_
_symmetry_equiv_pos_as_xyz
'x,y,z'
loop_
_atom_site_label
_atom_site_fract_x
_atom_site_fract_y
_atom_site_fract_z
Pr1 0.1271 0.7544 0.0187
Pr2 0.9813 0.1084 0.7356
Pr3 0.7628 0.2447 0.3688
Pr4 0.6312 0.3940 0.8759
Pr5 0.4819 0.6060 0.2372
Pr6 0.6272 0.8916 0.8729
Pr7 0.2644 0.2456 0.3728
Pr8 0.1241 0.7553 0.5181
Hg1 0.2500 0.5000 0.7500
Sb1 0.0002 0.3761 0.1282
Sb2 0.8718 0.8720 0.2479
Sb3 0.7521 0.6239 0.6241
Sb4 0.5000 0.0000 0.5000
Sb5 0.3759 0.1280 0.9998
# Theoretical density   7.3 g/cm3
# Crystal system   tetragonal
# Formation energy (no corrections)   -950 meV/atom

***

2.
# Pr5HgSb4 PBE relaxed
data_Pr5HgSb4
_cell_length_a 6.4297
_cell_length_b 7.8872
_cell_length_c 7.8872
_cell_angle_alpha 80.44
_cell_angle_beta 65.95
_cell_angle_gamma 65.95
_symmetry_space_group_name_H-M 'P 1'
_symmetry_Int_Tables_number 1
loop_
_symmetry_equiv_pos_as_xyz
'x,y,z'
loop_
_atom_site_label
_atom_site_fract_x
_atom_site_fract_y
_atom_site_fract_z
Pr1 0.8954 0.4149 0.7960
Pr2 0.3103 0.7960 0.5851
Pr3 0.6915 0.2040 0.4149
Pr4 0.1063 0.5851 0.2040
Pr5 0.5015 0.0000 0.0000
Hg1 0.0017 0.0000 0.0000
Sb1 0.3998 0.3998 0.8024
Sb2 0.7996 0.8024 0.6002
Sb3 0.2022 0.1976 0.3998
Sb4 0.6020 0.6002 0.1976
# Theoretical density   6.9 g/cm3
# Crystal system   tetragonal
# Formation energy (no corrections)   -999 meV/atom

***

3.
# Pr3HgSb2 PBE relaxed
data_Pr3HgSb2
_cell_length_a 6.4057
_cell_length_b 9.0725
_cell_length_c 7.9124
_cell_angle_alpha 106.65
_cell_angle_beta 113.88
_cell_angle_gamma 90.00
_symmetry_space_group_name_H-M 'P 1'
_symmetry_Int_Tables_number 1
loop_
_symmetry_equiv_pos_as_xyz
'x,y,z'
loop_
_atom_site_label
_atom_site_fract_x
_atom_site_fract_y
_atom_site_fract_z
Pr1 0.5009 0.2500 0.0000
Pr2 0.4991 0.7500 0.0000
Pr3 0.1773 0.0886 0.3546
Pr4 0.8227 0.4114 0.6454
Pr5 0.1773 0.5886 0.3546
Pr6 0.8227 0.9114 0.6454
Hg1 0.9989 0.7500 0.0000
Hg2 0.0011 0.2500 0.0000
Sb1 0.6642 0.5822 0.3284
Sb2 0.6642 0.0822 0.3284
Sb3 0.3358 0.9178 0.6716
Sb4 0.3358 0.4178 0.6716
# Theoretical density   7.2 g/cm3
# Crystal system   monoclinic
# Formation energy (no corrections)   -869 meV/atom

***

Number 1: M_tot 0.0 μB per cell. Number 2: M_tot 0.0 μB per cell. Number 3: M_tot 0.0 μB per cell.